NaPaAsO5: relaxed, PBE.

Properties
Calculated density (Mg/m³): 5.03
DFT total energy (eV per atom): -7.307
Space group: C2/c (15)

a b c (Å): 6.1441 6.1441 8.1759
angles (deg): 107.29 107.29 99.61
Positions (direct):
Na 0.3219 0.6781 0.2500
Na 0.6781 0.3219 0.7500
Pa 0.0000 0.0000 0.5000
Pa 0.0000 0.0000 0.0000
As 0.6637 0.3363 0.2500
As 0.3363 0.6637 0.7500
O 0.0687 0.9313 0.2500
O 0.9313 0.0687 0.7500
O 0.8319 0.2824 0.0917
O 0.1681 0.7176 0.9083
O 0.7176 0.1681 0.4083
O 0.2824 0.8319 0.5917
O 0.7248 0.6501 0.3752
O 0.2752 0.3499 0.6248
O 0.3499 0.2752 0.1248
O 0.6501 0.7248 0.8752